Entry 1:
A plane-wave DFT calculation with PBE-GGA was carried out for a geometry-optimized Sm3PdO structure.

abc: 4.823 4.823 4.823
angles: 90.00 90.00 90.00
Space group Pm-3m (No. 221)
Unique sites:
Sm1 0.000 0.000 0.500
Pd1 0.500 0.500 0.500
O1 0.000 0.000 0.000

Summary:
As for the energy: -6.173 eV/atom. As for the uncorrected formation energy: -1.311 eV/atom.

=====

Entry 2:
A plane-wave DFT calculation with PBE-GGA was carried out for a geometry-optimized Sr2SmPdO5 structure.

abc: 6.564 6.564 6.065
angles: 90.00 90.00 90.00
Space group P4/mbm (No. 127)
Unique sites:
Sr1 0.164 0.336 0.000
Sm1 0.000 0.000 0.500
Pd1 0.000 0.500 0.500
O1 0.000 0.000 0.000
O2 0.161 0.661 0.286

Summary:
As for the energy: -6.291 eV/atom. As for the uncorrected formation energy: -2.062 eV/atom.

=====

Entry 3:
A plane-wave DFT calculation with PBE-GGA was carried out for a geometry-optimized Sm2TlPdO5 structure.

abc: 6.799 6.799 5.855
angles: 90.00 90.00 90.00
Space group P4/mbm (No. 127)
Unique sites:
Sm1 0.174 0.326 0.000
Tl1 0.000 0.000 0.500
Pd1 0.000 0.500 0.500
O1 0.000 0.000 0.000
O2 0.134 0.634 0.238

Summary:
As for the energy: -6.691 eV/atom. As for the uncorrected formation energy: -2.048 eV/atom.

=====

Entry 4:
A plane-wave DFT calculation with PBE-GGA was carried out for a geometry-optimized SmTl2PdO6 structure.

abc: 5.7409 5.7409 15.3128
angles: 90.00 90.00 120.00
Space group R3 (No. 146, hexagonal axes)
Unique sites:
Sm1 0.0000 0.0000 0.0000
Tl1 0.0000 0.0000 0.2615
Tl2 0.0000 0.0000 0.7846
Pd1 0.0000 0.0000 0.4871
O1 0.0065 0.3968 0.2256
O2 0.0590 0.6860 0.0718

Summary:
As for the energy: -5.627 eV/atom. As for the uncorrected formation energy: -1.188 eV/atom.

=====

Entry 5:
A plane-wave DFT calculation with PBE-GGA was carried out for a geometry-optimized Sm2YPdO5 structure.

abc: 6.526 6.526 5.915
angles: 90.00 90.00 90.00
Space group P4/mbm (No. 127)
Unique sites:
Sm1 0.164 0.336 0.000
Y1 0.000 0.000 0.500
Pd1 0.000 0.500 0.500
O1 0.000 0.000 0.000
O2 0.168 0.668 0.260

Summary:
As for the energy: -7.542 eV/atom. As for the uncorrected formation energy: -2.444 eV/atom.

=====

Entry 6:
A plane-wave DFT calculation with PBE-GGA was carried out for a geometry-optimized SmZnPdO4 structure.

abc: 6.516 6.791 8.677
angles: 90.00 90.00 90.00
Space group Imma (No. 74)
Unique sites:
Sm1 0.000 0.000 0.000
Zn1 0.000 0.250 0.392
Pd1 0.250 0.250 0.750
O1 0.000 0.024 0.731
O2 0.241 0.250 0.991

Summary:
As for the energy: -6.033 eV/atom. As for the uncorrected formation energy: -1.602 eV/atom.